DFT (PBE) results for crystalline Sm5ThGe4 at its relaxed geometry.

The density of states at the Fermi level comes out at 8.63 states/eV/f.u. Its volume is 609.1 Å³ per cell. The formation energy is -0.5760 eV/atom. For the total energy, the calculation gives -110.5 eV for the cell shown.

It has space group C2/m (No. 12), with a = 19.001 Å, b = 4.417 Å, c = 7.955 Å, α = 90.00°, β = 114.17° and γ = 90.00°. The asymmetric unit holds Sm at (0.000, 0.000, 0.000), Sm at (0.164, 0.500, 0.921), Sm at (0.168, 0.500, 0.435), Th at (0.000, 0.000, 0.500), Ge at (0.004, 0.500, 0.247) and Ge at (0.188, 0.000, 0.698).


DFT (PBE) results for crystalline CaIr2Se at its relaxed geometry.

The density of states at the Fermi level comes out at 3.02 states/eV/f.u. Its volume is 166.0 Å³ per cell. The calculation puts the energy relative to the elements, uncorrected at -241 meV/atom. For the total energy, the calculation gives -48.3 eV for the cell shown. The value obtained for the relative energy among the computed polymorphs is 0.00 eV/f.u.

It has space group Cm (No. 8), with a = 8.204 Å, b = 4.099 Å, c = 5.303 Å, α = 90.00°, β = 111.40° and γ = 90.00°. The asymmetric unit holds Ca at (0.000, 0.000, 0.000), Ir at (0.043, 0.500, 0.589), Ir at (0.232, 0.000, 0.611) and Se at (0.290, 0.500, 0.374).


DFT (PBE) results for crystalline Be2InP at its relaxed geometry.

The density of states at the Fermi level comes out at 1.27 states/eV/f.u. Its volume is 120.6 Å³ per cell. The formation energy is 0.2246 eV/atom. For the total energy, the calculation gives -29.4 eV for the cell shown. The value obtained for the relative energy among the computed polymorphs is 0.31 eV/f.u.

It has space group Imm2 (No. 44), with a = 3.273 Å, b = 3.360 Å, c = 10.961 Å, α = 90.00°, β = 90.00° and γ = 90.00°. The asymmetric unit holds Be at (0.000, 0.000, 0.000), Be at (0.000, 0.500, 0.137), In at (0.000, 0.500, 0.780) and P at (0.000, 0.000, 0.510).


DFT (PBE) results for crystalline CeDyFe at its relaxed geometry.

The density of states at the Fermi level comes out at 4.89 states/eV/f.u. Its volume is 140.8 Å³ per cell. The formation energy is 0.0714 eV/atom. For the total energy, the calculation gives -37.6 eV for the cell shown. The value obtained for the relative energy among the computed polymorphs is 0.46 eV/f.u.

It has space group I4mm (No. 107), with a = 3.337 Å, b = 3.337 Å, c = 12.644 Å, α = 90.00°, β = 90.00° and γ = 90.00°. The asymmetric unit holds Ce at (0.000, 0.000, 0.000), Dy at (0.000, 0.000, 0.743) and Fe at (0.000, 0.000, 0.380).


DFT (PBE) results for crystalline SrHfAl2F at its relaxed geometry.

The density of states at the Fermi level comes out at 6.10 states/eV/f.u. Its volume is 181.9 Å³ per cell. The calculation puts the energy relative to the elements, uncorrected at 406 meV/atom. For the total energy, the calculation gives -19.0 eV for the cell shown.

It has space group P4/mmm (No. 123), with a = 5.137 Å, b = 5.137 Å, c = 6.891 Å, α = 90.00°, β = 90.00° and γ = 90.00°. The asymmetric unit holds Sr at (0.000, 0.000, 0.000), Hf at (0.000, 0.000, 0.500), Al at (0.000, 0.500, 0.500) and F at (0.500, 0.500, 0.000).


DFT (PBE) results for crystalline La2Sm8Mg at its relaxed geometry.

The density of states at the Fermi level comes out at 15.77 states/eV/f.u. Its volume is 752.4 Å³ per cell. The formation energy is 0.1207 eV/atom. For the total energy, the calculation gives -95.7 eV for the cell shown. The value obtained for the relative energy among the computed polymorphs is 0.13 eV/f.u.

It has space group C2/m (No. 12), with a = 16.470 Å, b = 6.811 Å, c = 6.859 Å, α = 90.00°, β = 102.09° and γ = 90.00°. The asymmetric unit holds La at (0.186, 0.000, 0.291), Sm at (0.081, 0.262, 0.887), Sm at (0.094, 0.500, 0.420), Sm at (0.244, 0.000, 0.808) and Mg at (0.000, 0.000, 0.500).


DFT (PBE) results for crystalline Er5Zn2Ag at its relaxed geometry.

The density of states at the Fermi level comes out at 7.38 states/eV/f.u. Its volume is 804.8 Å³ per cell. The formation energy is -0.2228 eV/atom. For the total energy, the calculation gives -120.0 eV for the cell shown.

It has space group I4/mcm (No. 140), with a = 7.282 Å, b = 7.282 Å, c = 15.176 Å, α = 90.00°, β = 90.00° and γ = 90.00°. The asymmetric unit holds Er at (0.000, 0.000, 0.000), Er at (0.167, 0.333, 0.150), Zn at (0.123, 0.377, 0.500) and Ag at (0.000, 0.000, 0.250).


DFT (PBE) results for crystalline SrLiRu at its relaxed geometry.

The density of states at the Fermi level comes out at 2.32 states/eV/f.u. Its volume is 62.7 Å³ per cell. The formation energy is 0.5123 eV/atom. For the total energy, the calculation gives -11.3 eV for the cell shown. The value obtained for the relative energy among the computed polymorphs is 0.07 eV/f.u.

It has space group P-6m2 (No. 187), with a = 4.9037 Å, b = 4.9037 Å, c = 3.0087 Å, α = 90.00°, β = 90.00° and γ = 120.00°. The asymmetric unit holds Sr at (0.0000, 0.0000, 0.0000), Li at (0.6667, 0.3333, 0.5000) and Ru at (0.3333, 0.6667, 0.5000).


DFT (PBE) results for crystalline Rb2SnTe at its relaxed geometry.

The density of states at the Fermi level comes out at 3.32 states/eV/f.u. Its volume is 681.2 Å³ per cell. The calculation puts the energy relative to the elements, uncorrected at -203 meV/atom. For the total energy, the calculation gives -39.6 eV for the cell shown. The value obtained for the relative energy among the computed polymorphs is 0.49 eV/f.u.

It has space group Fm-3m (No. 225), with a = 8.799 Å, b = 8.799 Å, c = 8.799 Å, α = 90.00°, β = 90.00° and γ = 90.00°. The asymmetric unit holds Rb at (0.250, 0.250, 0.250), Sn at (0.000, 0.000, 0.000) and Te at (0.000, 0.000, 0.500).


DFT (PBE) results for crystalline NdPaSi2 at its relaxed geometry.

The density of states at the Fermi level comes out at 2.44 states/eV/f.u. Its volume is 309.4 Å³ per cell. The calculation puts the energy relative to the elements, uncorrected at -454 meV/atom. For the total energy, the calculation gives -80.8 eV for the cell shown. The value obtained for the relative energy among the computed polymorphs is 0.00 eV/f.u.

It has space group R-3m (No. 166, hexagonal axes), with a = 4.1791 Å, b = 4.1791 Å, c = 20.4571 Å, α = 90.00°, β = 90.00° and γ = 120.00°. The asymmetric unit holds Nd at (0.0000, 0.0000, 0.0000), Pa at (0.0000, 0.0000, 0.5000) and Si at (0.0000, 0.0000, 0.2432).


DFT (PBE) results for crystalline K2NaI at its relaxed geometry.

The density of states at the Fermi level comes out at 0.54 states/eV/f.u. Its volume is 955.8 Å³ per cell. The calculation puts the energy relative to the elements, uncorrected at -572 meV/atom. For the total energy, the calculation gives -29.4 eV for the cell shown. The value obtained for the relative energy among the computed polymorphs is 0.35 eV/f.u.

It has space group I-42d (No. 122), with a = 9.801 Å, b = 9.801 Å, c = 9.951 Å, α = 90.00°, β = 90.00° and γ = 90.00°. The asymmetric unit holds K at (0.208, 0.750, 0.125), Na at (0.000, 0.000, 0.500) and I at (0.000, 0.000, 0.000).


DFT (PBE) results for crystalline CaMgRh3 at its relaxed geometry.

The density of states at the Fermi level comes out at 6.54 states/eV/f.u. Its volume is 98.9 Å³ per cell. The formation energy is 0.4344 eV/atom. For the total energy, the calculation gives -23.5 eV for the cell shown. The value obtained for the relative energy among the computed polymorphs is 0.00 eV/f.u.

It has space group Pm-3m (No. 221), with a = 4.625 Å, b = 4.625 Å, c = 4.625 Å, α = 90.00°, β = 90.00° and γ = 90.00°. The asymmetric unit holds Ca at (0.000, 0.000, 0.000), Mg at (0.500, 0.500, 0.500) and Rh at (0.000, 0.500, 0.500).


DFT (PBE) results for crystalline K5As3Pb3 at its relaxed geometry.

Its volume is 1619.6 Å³ per cell. The formation energy is -0.3714 eV/atom. For the total energy, the calculation gives -138.6 eV for the cell shown.

It has space group Pnma (No. 62), with a = 19.757 Å, b = 12.314 Å, c = 6.657 Å, α = 90.00°, β = 90.00° and γ = 90.00°. The asymmetric unit holds K at (0.000, 0.000, 0.000), K at (0.102, 0.250, 0.047), K at (0.120, 0.750, 0.738), K at (0.179, 0.546, 0.273), As at (0.045, 0.750, 0.238), As at (0.153, 0.053, 0.766), Pb at (0.043, 0.117, 0.523) and Pb at (0.193, 0.250, 0.561).


DFT (PBE) results for crystalline YBrCl at its relaxed geometry.

The density of states at the Fermi level comes out at 1.51 states/eV/f.u. Its volume is 93.2 Å³ per cell. The calculation puts the energy relative to the elements, uncorrected at -1764 meV/atom. For the total energy, the calculation gives -15.3 eV for the cell shown.

It has space group P3m1 (No. 156), with a = 3.8269 Å, b = 3.8269 Å, c = 7.3450 Å, α = 90.00°, β = 90.00° and γ = 120.00°. The asymmetric unit holds Y at (0.0000, 0.0000, 0.0000), Br at (0.6667, 0.3333, 0.2501) and Cl at (0.3333, 0.6667, 0.7758).


DFT (PBE) results for crystalline LuUIrRu at its relaxed geometry.

The density of states at the Fermi level comes out at 7.88 states/eV/f.u. Its volume is 309.1 Å³ per cell. The formation energy is -0.4814 eV/atom. For the total energy, the calculation gives -143.5 eV for the cell shown.

It has space group F-43m (No. 216), with a = 6.762 Å, b = 6.762 Å, c = 6.762 Å, α = 90.00°, β = 90.00° and γ = 90.00°. The asymmetric unit holds Lu at (0.000, 0.000, 0.000), U at (0.000, 0.000, 0.500), Ir at (0.250, 0.250, 0.250) and Ru at (0.250, 0.250, 0.750).


DFT (PBE) results for crystalline NaV2Pd2 at its relaxed geometry.

The density of states at the Fermi level comes out at 4.12 states/eV/f.u. Its volume is 162.9 Å³ per cell. The formation energy is 0.0187 eV/atom. For the total energy, the calculation gives -59.7 eV for the cell shown. The value obtained for the relative energy among the computed polymorphs is 0.00 eV/f.u.

It has space group P4/mbm (No. 127), with a = 7.774 Å, b = 7.774 Å, c = 2.695 Å, α = 90.00°, β = 90.00° and γ = 90.00°. The asymmetric unit holds Na at (0.000, 0.000, 0.000), V at (0.109, 0.391, 0.000) and Pd at (0.181, 0.681, 0.500).


DFT (PBE) results for crystalline SrVI2N at its relaxed geometry.

The density of states at the Fermi level comes out at 9.46 states/eV/f.u. Its volume is 189.9 Å³ per cell. The calculation puts the energy relative to the elements, uncorrected at 689 meV/atom. For the total energy, the calculation gives -18.8 eV for the cell shown. The value obtained for the relative energy among the computed polymorphs is 6.20 eV/f.u.

It has space group P4/mmm (No. 123), with a = 6.388 Å, b = 6.388 Å, c = 4.652 Å, α = 90.00°, β = 90.00° and γ = 90.00°. The asymmetric unit holds Sr at (0.000, 0.000, 0.000), V at (0.500, 0.500, 0.500), I at (0.000, 0.500, 0.000) and N at (0.000, 0.000, 0.500).


DFT (PBE) results for crystalline DyHo2Tl2Ag2 at its relaxed geometry.

The density of states at the Fermi level comes out at 7.15 states/eV/f.u. Its volume is 533.5 Å³ per cell. The formation energy is -0.1410 eV/atom. For the total energy, the calculation gives -75.5 eV for the cell shown.

It has space group R-3m (No. 166, hexagonal axes), with a = 4.8993 Å, b = 4.8993 Å, c = 25.6634 Å, α = 90.00°, β = 90.00° and γ = 120.00°. The asymmetric unit holds Dy at (0.0000, 0.0000, 0.0000), Ho at (0.0000, 0.0000, 0.1326), Tl at (0.0000, 0.0000, 0.2657) and Ag at (0.0000, 0.0000, 0.4344).


DFT (PBE) results for crystalline AgPRh2 at its relaxed geometry.

The density of states at the Fermi level comes out at 2.05 states/eV/f.u. Its volume is 122.7 Å³ per cell. The formation energy is -0.1676 eV/atom. For the total energy, the calculation gives -47.3 eV for the cell shown.

It has space group Immm (No. 71), with a = 3.362 Å, b = 4.760 Å, c = 7.665 Å, α = 90.00°, β = 90.00° and γ = 90.00°. The asymmetric unit holds Ag at (0.000, 0.000, 0.000), P at (0.000, 0.000, 0.500) and Rh at (0.000, 0.500, 0.195).


DFT (PBE) results for crystalline SbIrI2 at its relaxed geometry.

The density of states at the Fermi level comes out at 1.48 states/eV/f.u. Its volume is 397.5 Å³ per cell. The calculation puts the energy relative to the elements, uncorrected at 1044 meV/atom. For the total energy, the calculation gives -47.6 eV for the cell shown.

It has space group Fm-3m (No. 225), with a = 7.353 Å, b = 7.353 Å, c = 7.353 Å, α = 90.00°, β = 90.00° and γ = 90.00°. The asymmetric unit holds Sb at (0.000, 0.000, 0.000), Ir at (0.000, 0.000, 0.500) and I at (0.250, 0.250, 0.250).